Record 1
KCdS PBE relaxed; space-group type = No. 63; formation energy from raw total energies = -0.46 eV/atom; size of the total moment = 0.000 μB per atom
1.0
6.2171 0.0000 0.0000
0.0000 4.0951 -0.0479
0.0000 -1.9733 6.3869
K S Cd
2 2 2
direct
0.7500 0.3690 0.2356
0.2500 0.3690 0.2356
0.0000 0.0224 0.5422
0.5000 0.7157 0.9290
0.5000 0.0804 0.6581
0.0000 0.6580 0.8131

---

Record 2
KCd3S3 PBE relaxed; space-group type = No. 148; formation energy from raw total energies = -0.57 eV/atom; size of the total moment = 0.000 μB per atom
1.0
-1.7615 5.2326 -5.4352
-7.3169 0.7415 -2.4366
-4.3327 7.3073 2.9173
S Cd K
6 6 2
direct
0.9095 0.2495 0.2860
0.7505 0.4450 0.7140
0.2495 0.5550 0.2860
0.0905 0.7505 0.7140
0.5550 0.9095 0.2860
0.4450 0.0905 0.7140
0.4308 0.7990 0.6460
0.2010 0.8758 0.3540
0.8758 0.5692 0.3540
0.5692 0.2010 0.3540
0.7990 0.1242 0.6460
0.1242 0.4308 0.6460
0.3328 0.3328 0.0016
0.6672 0.6672 0.9984

---

Record 3
KCdS3 PBE relaxed; distance to the lowest polymorph of the same formula = 0.0000 eV/atom; space-group type = No. 221; formation energy from raw total energies = 0.02 eV/atom; size of the total moment = 0.000 μB per atom
1.0
5.0929 0.0000 0.0000
0.0000 5.0929 0.0000
0.0000 0.0000 5.0929
Cd S K
1 3 1
direct
0.0000 0.0000 0.0000
0.0000 0.0000 0.5000
0.5000 0.0000 0.0000
0.0000 0.5000 0.0000
0.5000 0.5000 0.5000